# MgCr8Fe3O16 (PBE+U, optimized geometry)
# - Density of states at the Fermi level: 0.000 states/eV per atom
# - Energy: -212.61 eV/f.u.
# - Volume: 11.12 Å³ per atom
data_MgCr8Fe3O16
_chemical_formula_sum 'Mg1 Cr8 Fe3 O16'
_cell_length_a 6.051
_cell_length_b 6.051
_cell_length_c 8.502
_cell_angle_alpha 90.00
_cell_angle_beta 90.00
_cell_angle_gamma 90.00
_symmetry_space_group_name_H-M 'P 1'
_symmetry_Int_Tables_number 1
_symmetry_space_group_name_Hall 'P 1'
loop_
_atom_site_label
_atom_site_type_symbol
_atom_site_fract_x
_atom_site_fract_y
_atom_site_fract_z
O1 O 0.000 0.276 0.861
Fe1 Fe 0.000 0.500 0.249
O2 O 0.724 0.000 0.139
Cr1 Cr 0.749 0.000 0.376
O3 O 0.276 0.000 0.139
O4 O 0.777 0.000 0.614
O5 O 0.500 0.773 0.365
Cr2 Cr 0.251 0.000 0.376
O6 O 0.500 0.276 0.887
Cr3 Cr 0.250 0.500 0.874
Cr4 Cr 0.000 0.251 0.624
O7 O 0.000 0.223 0.386
Cr5 Cr 0.750 0.500 0.874
O8 O 0.500 0.724 0.887
O9 O 0.773 0.500 0.635
Fe2 Fe 0.500 0.000 0.751
O10 O 0.276 0.500 0.113
O11 O 0.000 0.777 0.386
O12 O 0.000 0.724 0.861
Cr6 Cr 0.500 0.250 0.126
O13 O 0.223 0.000 0.614
Mg1 Mg 0.500 0.500 0.500
O14 O 0.724 0.500 0.113
O15 O 0.227 0.500 0.635
Fe3 Fe 0.000 0.000 0.000
Cr7 Cr 0.500 0.750 0.126
O16 O 0.500 0.227 0.365
Cr8 Cr 0.000 0.749 0.624